Material: NbFeRuAu2
Method: DFT, PBE
State: optimized geometry

Output
Space group = P4/mmm
ρ = 10.1 g/cm³
D(E_F) = 7.55 states/eV per cell
DFT formation energy = 1.436 eV per atom

Cell lengths 4.975, 4.256, 4.975 Å; angles 90.00, 90.00, 90.00 degrees
Atoms (fractional coordinates):
Nb  0.500  0.500  0.500
Au  0.000  0.000  0.500
Fe  0.000  0.500  0.000
Au  0.500  0.000  0.000
Ru  0.000  0.000  0.000

---

Material: NbGaH
Method: DFT, PBE
State: optimized geometry

Output
Space group = I4mm
ρ = 6.9 g/cm³
D(E_F) = 1.61 states/eV per cell
Polymorph energy (0 for the lowest one) = 0.1746 eV/atom

Cell lengths 2.815, 2.815, 5.327 Å; angles 105.32, 105.32, 90.00 degrees
Atoms (fractional coordinates):
Nb  0.719  0.719  0.439
H  0.281  0.281  0.562
Ga  0.000  0.000  0.999

---

Material: BaCrP
Method: DFT, PBE
State: optimized geometry

Output
Space group = F-43m
ρ = 3.7 g/cm³
D(E_F) = 2.31 states/eV per cell
DFT formation energy = 0.693 eV per atom

Cell lengths 5.168, 5.168, 5.168 Å; angles 60.00, 60.00, 60.00 degrees
Atoms (fractional coordinates):
Ba  0.750  0.750  0.750
P  0.500  0.500  0.500
Cr  0.000  0.000  0.000